First-principles (PBE) data for a geometry-optimized LuTlNiMo structure, as listed in OQMD.

a = 4.730 Å, b = 4.730 Å, c = 4.730 Å
α = 60.00°, β = 60.00°, γ = 60.00°
Atoms (fractional coordinates):
Lu 0.000 0.000 0.000
Tl 0.500 0.500 0.500
Ni 0.750 0.750 0.750
Mo 0.250 0.250 0.250

## Properties
As for the energy above the most stable polymorph in this dataset: 0 meV per atom. The size of the total moment comes out at 1.951 μB/f.u. The value obtained for the total DFT energy (no corrections) is -5.45 eV per atom.

***

First-principles (PBE) data for a geometry-optimized Pr3MgTl2Pt2Au structure, as listed in OQMD.

a = 4.094 Å, b = 7.878 Å, c = 7.878 Å
α = 120.60°, β = 90.00°, γ = 90.00°
Atoms (fractional coordinates):
Pr 0.000 0.000 0.000
Pr 0.000 0.178 0.593
Pr 0.000 0.593 0.178
Mg 0.500 0.334 0.334
Tl 0.500 0.591 0.847
Tl 0.500 0.847 0.591
Pt 0.500 0.262 0.943
Pt 0.500 0.943 0.262
Au 0.000 0.561 0.561

## Properties
The size of the total moment comes out at 0.027 μB/f.u. The value obtained for the total DFT energy (no corrections) is -4.76 eV per atom.

***

First-principles (PBE) data for a geometry-optimized BeGaIr2 structure, as listed in OQMD.

a = 5.350 Å, b = 7.307 Å, c = 5.323 Å
α = 90.00°, β = 90.00°, γ = 90.00°
Atoms (fractional coordinates):
Be 0.069 0.250 0.053
Be 0.431 0.750 0.553
Be 0.569 0.250 0.447
Be 0.931 0.750 0.947
Ga 0.018 0.250 0.542
Ga 0.482 0.750 0.042
Ga 0.518 0.250 0.958
Ga 0.982 0.750 0.458
Ir 0.185 0.512 0.817
Ir 0.185 0.988 0.817
Ir 0.315 0.012 0.317
Ir 0.315 0.488 0.317
Ir 0.685 0.512 0.683
Ir 0.685 0.988 0.683
Ir 0.815 0.012 0.183
Ir 0.815 0.488 0.183

## Properties
As for the energy above the most stable polymorph in this dataset: 63 meV per atom. The size of the total moment comes out at 0.000 μB/f.u. The value obtained for the total DFT energy (no corrections) is -6.56 eV per atom.

***

First-principles (PBE) data for a geometry-optimized NaTbGa4Pt2 structure, as listed in OQMD.

a = 6.835 Å, b = 5.488 Å, c = 5.488 Å
α = 46.32°, β = 90.00°, γ = 90.00°
Atoms (fractional coordinates):
Na 0.000 0.000 0.000
Tb 0.500 0.843 0.843
Ga 0.193 0.285 0.285
Ga 0.296 0.556 0.556
Ga 0.704 0.556 0.556
Ga 0.807 0.285 0.285
Pt 0.000 0.718 0.718
Pt 0.500 0.128 0.128

## Properties
The size of the total moment comes out at 0.025 μB/f.u. The value obtained for the total DFT energy (no corrections) is -4.46 eV per atom.

***

First-principles (PBE) data for a geometry-optimized TlBiIr structure, as listed in OQMD.

a = 4.716 Å, b = 4.716 Å, c = 4.716 Å
α = 60.00°, β = 60.00°, γ = 60.00°
Atoms (fractional coordinates):
Tl 0.000 0.000 0.000
Bi 0.500 0.500 0.500
Ir 0.750 0.750 0.750

## Properties
As for the energy above the most stable polymorph in this dataset: 0 meV per atom. The size of the total moment comes out at 0.009 μB/f.u. The value obtained for the total DFT energy (no corrections) is -4.90 eV per atom.

***

First-principles (PBE) data for a geometry-optimized NaTmZnO3 structure, as listed in OQMD.

a = 5.669 Å, b = 5.669 Å, c = 8.892 Å
α = 90.00°, β = 90.00°, γ = 144.74°
Atoms (fractional coordinates):
Na 0.203 0.797 0.750
Na 0.797 0.203 0.250
Tm 0.500 0.500 0.000
Tm 0.500 0.500 0.500
Zn 0.075 0.925 0.250
Zn 0.925 0.075 0.750
O 0.127 0.873 0.049
O 0.127 0.873 0.451
O 0.456 0.544 0.250
O 0.544 0.456 0.750
O 0.873 0.127 0.549
O 0.873 0.127 0.951

## Properties
The size of the total moment comes out at 0.002 μB/f.u. The value obtained for the total DFT energy (no corrections) is -5.83 eV per atom.

***

First-principles (PBE) data for a geometry-optimized RbDyPdS3 structure, as listed in OQMD.

a = 8.852 Å, b = 4.066 Å, c = 9.615 Å
α = 90.00°, β = 108.89°, γ = 90.00°
Atoms (fractional coordinates):
Rb 0.209 0.250 0.234
Rb 0.791 0.750 0.766
Dy 0.329 0.750 0.858
Dy 0.671 0.250 0.142
Pd 0.092 0.250 0.585
Pd 0.908 0.750 0.415
S 0.118 0.250 0.851
S 0.203 0.750 0.545
S 0.464 0.750 0.152
S 0.536 0.250 0.848
S 0.797 0.250 0.455
S 0.882 0.750 0.149

## Properties
As for the energy above the most stable polymorph in this dataset: 0 meV per atom. The size of the total moment comes out at 0.036 μB/f.u. The value obtained for the total DFT energy (no corrections) is -5.07 eV per atom.

***

First-principles (PBE) data for a geometry-optimized KAg2PSe3S structure, as listed in OQMD.

a = 6.552 Å, b = 6.552 Å, c = 6.462 Å
α = 115.78°, β = 115.78°, γ = 96.86°
Atoms (fractional coordinates):
K 0.000 0.000 0.000
Ag 0.270 0.757 0.508
Ag 0.757 0.270 0.508
P 0.514 0.514 0.029
Se 0.183 0.183 0.648
Se 0.467 0.845 0.018
Se 0.845 0.467 0.018
S 0.557 0.557 0.382

## Properties
The value obtained for the total DFT energy (no corrections) is -3.75 eV per atom.